A plane-wave DFT calculation with PBE-GGA was carried out for Nd4Sb3O after structural relaxation.

Summary:
The density of states at the Fermi level is 0.336 states/eV/atom. Its symmetry is Pmn2_1, No. 31. The value obtained for the uncorrected formation energy is -1.454 eV per atom.

Cell lengths 6.352, 6.350, 12.422 Å; angles 90.00, 90.00, 90.00 degrees
Sites, in units of the cell vectors:
1 Sb 0.561 0.255 0.250
2 Sb 0.561 0.255 0.750
3 Sb 0.061 0.745 0.750
4 Sb 0.564 0.755 0.000
5 Sb 0.061 0.745 0.250
6 Sb 0.064 0.245 0.500
7 Nd 0.062 0.245 0.250
8 Nd 0.062 0.840 0.000
9 Nd 0.562 0.755 0.250
10 Nd 0.652 0.254 0.000
11 Nd 0.062 0.245 0.750
12 Nd 0.562 0.755 0.750
13 Nd 0.152 0.746 0.500
14 Nd 0.562 0.160 0.500
15 O 0.992 0.180 0.000
16 O 0.492 0.820 0.500